No. 1
5
Lattice="5.0502 0.0000 0.0000 0.0000 5.0502 0.0000 0.0000 0.0000 5.0502" Properties=species:S:1:pos:R:3 comment="SrPd3Au | Alexandria via LeMat-Bulk | PBE | optimized geometry" final_energy_ev_per_atom=-3.9639 n_ef_per_ev_cell=4.1 magnetic_moment_mub_per_cell=0.00 space_group="No. 221" vol_a3_per_atom=25.76 delta_e_f_kj_per_mol_atoms=13.9 pbc="T T T"
Pd 0.0000 2.5251 0.0000
Pd 0.0000 0.0000 2.5251
Pd 2.5251 0.0000 0.0000
Au 0.0000 0.0000 0.0000
Sr 2.5251 2.5251 2.5251

No. 2
10
Lattice="-2.7891 -2.3014 4.6021 -1.1900 -1.8985 -5.3923 7.0441 -4.4534 2.0421" Properties=species:S:1:pos:R:3 comment="Sr2Pd2Au | Alexandria via LeMat-Bulk | PBE | optimized geometry" final_energy_ev_per_atom=-4.0821 n_ef_per_ev_cell=3.1 magnetic_moment_mub_per_cell=0.00 space_group="No. 15" vol_a3_per_atom=24.56 delta_e_f_kj_per_mol_atoms=-65.3 pbc="T T T"
Pd 0.5877 -5.3127 0.4318
Pd 6.1575 -5.8497 -1.9260
Pd -3.0925 -2.8036 3.1779
Pd 2.4773 -3.3406 0.8201
Sr 2.0193 -5.2919 3.3604
Sr 3.7724 -6.2444 0.2249
Sr -0.7074 -2.4089 1.0270
Sr 1.0457 -3.3614 -2.1085
Au 4.8147 -3.7265 2.3044
Au -0.5597 -3.0283 4.3398

No. 3
8
Lattice="4.6539 0.0000 0.0000 0.0000 6.1786 0.0382 0.0000 -3.0329 8.0338" Properties=species:S:1:pos:R:3 comment="Sr2PdAu | Alexandria via LeMat-Bulk | PBE | optimized geometry" final_energy_ev_per_atom=-3.6744 n_ef_per_ev_cell=2.7 magnetic_moment_mub_per_cell=0.00 space_group="No. 11" vol_a3_per_atom=28.94 delta_e_f_kj_per_mol_atoms=-69.1 pbc="T T T"
Sr 3.4905 -1.4263 7.4661
Sr 1.1635 4.5720 0.6058
Sr 1.1635 3.0973 4.5836
Sr 3.4905 0.0484 3.4884
Au 1.1635 1.5015 1.7205
Au 3.4905 1.6442 6.3515
Pd 1.1635 0.0186 5.7458
Pd 3.4905 3.1271 2.3262